Rb2HfZnO4 | PBE | optimized geometry

Formation energy without anion corrections, eV/atom: -2.004

abc: 5.3208 6.8452 11.1597
angles: 84.68 76.21 67.13
With the nearest neighbours (Å) after each atom.
Element x y z (fractional)
Rb (0.1767, 0.0000, 0.6466)  8 O 3.28-3.46
Rb (0.8233, 0.0000, 0.3534)  8 O 3.28-3.46
Rb (0.5733, 0.5000, 0.8534)  8 O 3.28-3.46
Rb (0.9267, 0.5000, 0.1466)  8 O 3.28-3.46
Hf (0.7500, 0.5000, 0.5000)  4 O 1.96
Hf (0.0000, 0.0000, 0.0000)  4 O 1.96
Zn (0.2500, 0.5000, 0.5000)  4 O 2.04
Zn (0.5000, 0.0000, 0.0000)  4 O 2.04
O (0.2795, 0.8262, 0.0936)  1 Hf 1.96, 1 Zn 2.04
O (0.1994, 0.1738, 0.9064)  1 Hf 1.96, 1 Zn 2.04
O (0.8943, 0.8262, 0.9064)  1 Hf 1.96, 1 Zn 2.04
O (0.6269, 0.1738, 0.0936)  1 Hf 1.96, 1 Zn 2.04
O (0.4705, 0.6738, 0.4064)  1 Hf 1.96, 1 Zn 2.04
O (0.5506, 0.3262, 0.5936)  1 Hf 1.96, 1 Zn 2.04
O (0.8557, 0.6738, 0.5936)  1 Hf 1.96, 1 Zn 2.04
O (0.1231, 0.3262, 0.4064)  1 Hf 1.96, 1 Zn 2.04

***

KAgW | PBE | optimized geometry

Energy of formation, meV per atom: 1165
Energy relative to the lowest polymorph listed for this composition, meV/atom: 319

abc: 6.8294 6.8294 6.8294
angles: 157.26 141.87 44.86
With the nearest neighbours (Å) after each atom.
Element x y z (fractional)
Ag (0.9546, 0.9546, 0.0000)  2 Ag 2.69, 4 W 2.76
K (0.6630, 0.6630, 0.0000)  2 K 2.69
W (0.3824, 0.3824, 0.0000)  2 W 2.69, 4 Ag 2.76

***

DyGaNi4Ge2 | PBE | optimized geometry

Energy of formation, meV per atom: -441

abc: 4.0335 4.0335 8.6856
angles: 76.57 76.57 60.00
With the nearest neighbours (Å) after each atom.
Element x y z (fractional)
Dy (0.0000, 0.0000, 0.0000)  6 Ni 2.98, 6 Ge 3.11
Ga (0.5000, 0.5000, 0.5000)  8 Ni 2.33-2.47
Ni (0.4073, 0.4073, 0.7782)  1 Ga 2.33, 3 Ge 2.34
Ni (0.8665, 0.8665, 0.4006)  3 Ga 2.47, 3 Ge 2.66, 3 Ni 2.77
Ni (0.1335, 0.1335, 0.5994)  3 Ga 2.47, 3 Ge 2.66, 3 Ni 2.77
Ni (0.5927, 0.5927, 0.2218)  1 Ga 2.33, 3 Ge 2.34
Ge (0.7488, 0.7488, 0.7535)  3 Ni 2.34
Ge (0.2512, 0.2512, 0.2465)  3 Ni 2.34

***

Cd2SnOs2 | PBE | optimized geometry

Energy of formation, meV per atom: 899

abc: 3.9763 3.9763 7.0034
angles: 73.51 73.51 90.00
With the nearest neighbours (Å) after each atom.
Element x y z (fractional)
Os (0.4087, 0.4087, 0.1825)  1 Os 2.34
Os (0.5913, 0.5913, 0.8175)  1 Os 2.34
Sn (0.0000, 0.0000, 0.0000)  8 Os 3.05
Cd (0.7500, 0.2500, 0.5000)  4 Cd 2.81, 4 Os 2.85
Cd (0.2500, 0.7500, 0.5000)  4 Cd 2.81, 4 Os 2.85

***

Rb3AcSc2Te6 | PBE | optimized geometry

Formation energy without anion corrections, eV/atom: -1.299

abc: 7.8467 7.8467 8.9429
angles: 98.51 98.51 120.03
With the nearest neighbours (Å) after each atom.
Element x y z (fractional)
Rb (0.1591, 0.8409, 0.5000)  6 Te 3.58-3.79
Rb (0.8409, 0.1591, 0.5000)  6 Te 3.58-3.79
Rb (0.5000, 0.5000, 0.5000)  6 Te 3.54-3.77
Ac (0.0000, 0.0000, 0.0000)  6 Te 3.30-3.31
Sc (0.3323, 0.6677, 0.0000)  6 Te 3.01-3.02
Sc (0.6677, 0.3323, 0.0000)  6 Te 3.01-3.02
Te (0.9339, 0.5707, 0.8036)  2 Sc 3.01-3.02, 1 Ac 3.31
Te (0.7018, 0.7018, 0.1939)  2 Sc 3.01, 1 Ac 3.30
Te (0.0661, 0.4293, 0.1964)  2 Sc 3.01-3.02, 1 Ac 3.31
Te (0.5707, 0.9339, 0.8036)  2 Sc 3.01-3.02, 1 Ac 3.31
Te (0.2982, 0.2982, 0.8061)  2 Sc 3.01, 1 Ac 3.30
Te (0.4293, 0.0661, 0.1964)  2 Sc 3.01-3.02, 1 Ac 3.31

***

Tb4Tl3Rh | PBE | optimized geometry

Energy of formation, meV per atom: -480
Energy relative to the lowest polymorph listed for this composition, meV/atom: 0

abc: 3.5681 3.5681 16.1908
angles: 90.00 90.00 90.00
With the nearest neighbours (Å) after each atom.
Element x y z (fractional)
Rh (0.5000, 0.5000, 0.0000)  8 Tb 3.01
Tl (0.5000, 0.5000, 0.2384)  8 Tb 3.28-3.36, 4 Tl 3.57
Tl (0.5000, 0.5000, 0.5000)  8 Tb 3.30, 4 Tl 3.57
Tl (0.5000, 0.5000, 0.7616)  8 Tb 3.28-3.36, 4 Tl 3.57
Tb (0.0000, 0.0000, 0.8986)  4 Rh 3.01, 1 Tb 3.28, 4 Tl 3.36
Tb (0.0000, 0.0000, 0.1014)  4 Rh 3.01, 1 Tb 3.28, 4 Tl 3.36
Tb (0.0000, 0.0000, 0.3682)  8 Tl 3.28-3.30, 4 Tb 3.57
Tb (0.0000, 0.0000, 0.6318)  8 Tl 3.28-3.30, 4 Tb 3.57

***

Pm3Sm7Ho | PBE | optimized geometry

Energy of formation, meV per atom: 243
Energy relative to the lowest polymorph listed for this composition, meV/atom: 9

abc: 5.9318 8.5466 8.5466
angles: 82.95 110.29 110.29
With the nearest neighbours (Å) after each atom.
Element x y z (fractional)
Pm (0.0000, 0.7908, 0.2092)  5 Sm 3.29-3.57
Pm (0.5000, 0.0000, 0.0000)  4 Sm 3.23
Pm (0.0000, 0.2092, 0.7908)  5 Sm 3.29-3.57
Sm (0.2090, 0.2087, 0.2087)  1 Ho 3.31, 2 Pm 3.35, 2 Sm 3.51
Sm (0.3021, 0.0069, 0.5975)  2 Pm 3.23-3.57, 3 Sm 3.35-3.51
Sm (0.6979, 0.4025, 0.9931)  2 Pm 3.23-3.57, 3 Sm 3.35-3.51
Sm (0.3021, 0.5975, 0.0069)  2 Pm 3.23-3.57, 3 Sm 3.35-3.51
Sm (0.0000, 0.5000, 0.5000)  2 Ho 2.97, 2 Pm 3.29
Sm (0.6979, 0.9931, 0.4025)  2 Pm 3.23-3.57, 3 Sm 3.35-3.51
Sm (0.7910, 0.7913, 0.7913)  1 Ho 3.31, 2 Pm 3.35, 2 Sm 3.51
Ho (0.5000, 0.5000, 0.5000)  4 Sm 2.97-3.31

***

Co2HN | PBE | optimized geometry

Energy relative to the lowest polymorph listed for this composition, meV/atom: 91

abc: 2.7635 2.7635 4.7228
angles: 72.99 72.99 60.00
With the nearest neighbours (Å) after each atom.
Element x y z (fractional)
H (0.5000, 0.5000, 0.5000)  6 Co 1.96
Co (0.2522, 0.2522, 0.2434)  3 N 1.93, 3 H 1.96
Co (0.7478, 0.7478, 0.7566)  3 N 1.93, 3 H 1.96
N (0.0000, 0.0000, 0.0000)  6 Co 1.93